[1]
{"formula": "CdIn2O4", "functional": "PBEsol", "state": "optimized geometry", "e_above_lowest_polymorph_mev_per_atom": 77, "spacegroup": "No. 74", "e_form_raw_ev_per_atom": -1.394, "total_magnetization_mub_per_cell": 0.00, "n_ef_per_ev_cell": 2.7, "cell": [[-5.535, -2.691, -1.656], [-0.032, -6.113, -2.221], [-2.484, -4.724, 3.717]], "species": ["O", "O", "O", "O", "O", "O", "O", "O", "Cd", "Cd", "In", "In", "In", "In"], "frac_coords": [[0.731, 0.752, 0.252], [0.266, 0.752, 0.252], [0.733, 0.762, 0.771], [0.733, 0.271, 0.262], [0.734, 0.248, 0.748], [0.267, 0.238, 0.229], [0.269, 0.248, 0.748], [0.267, 0.729, 0.738], [0.000, 0.500, 0.000], [0.500, 0.500, 0.000], [0.135, 0.115, 0.615], [0.865, 0.885, 0.385], [0.500, 0.500, 0.500], [0.500, 0.000, 0.000]]}



[2]
{"formula": "CdInOs", "functional": "PBEsol", "state": "optimized geometry", "spacegroup": "No. 44", "e_form_mev_per_atom": 547.1, "total_magnetization_mub_per_cell": 0.00, "n_ef_per_ev_cell": 2.2, "cell": [[2.850, 0.000, 0.000], [0.000, 4.149, 0.000], [-1.425, -2.075, 4.478]], "species": ["Os", "In", "Cd"], "frac_coords": [[0.330, 0.330, 0.660], [0.676, 0.676, 0.352], [0.994, 0.994, 0.988]]}



Number 1: VASP energy -75.83 eV/cell. Number 2: VASP energy -14.75 eV/cell.